# SiNiRh2 | Alexandria via LeMat-Bulk | GGA-PBE | optimized geometry
data_SiNiRh2
_chemical_formula_sum 'Si1 Ni1 Rh2'
_cell_length_a 5.0149
_cell_length_b 5.0149
_cell_length_c 5.0149
_cell_angle_alpha 147.36
_cell_angle_beta 128.25
_cell_angle_gamma 62.54
_space_group_name_H-M_alt 'P 1'
_space_group_IT_number 1
loop_
_space_group_symop_operation_xyz
'x,y,z'
loop_
_atom_site_label
_atom_site_fract_x
_atom_site_fract_y
_atom_site_fract_z
_atom_site_occupancy
Si1 0.0000 0.0000 0.0000 1
Ni1 0.5000 0.5000 0.0000 1
Rh1 0.2189 0.7189 0.5000 1
Rh2 0.7811 0.2811 0.5000 1
# * D(E_F): 1.0414 states/eV/atom
# * ΔE_f (raw): -0.335 eV/atom

---

# CeInSe2 | Alexandria via LeMat-Bulk | GGA-PBE | optimized geometry
data_CeInSe2
_chemical_formula_sum 'Ce1 In1 Se2'
_cell_length_a 9.1697
_cell_length_b 9.1697
_cell_length_c 9.1697
_cell_angle_alpha 25.15
_cell_angle_beta 25.15
_cell_angle_gamma 25.15
_space_group_name_H-M_alt 'P 1'
_space_group_IT_number 1
loop_
_space_group_symop_operation_xyz
'x,y,z'
loop_
_atom_site_label
_atom_site_fract_x
_atom_site_fract_y
_atom_site_fract_z
_atom_site_occupancy
Ce1 0.0000 0.0000 0.0000 1
In1 0.5000 0.5000 0.5000 1
Se1 0.1072 0.1072 0.1072 1
Se2 0.8928 0.8928 0.8928 1
# * D(E_F): 1.9277 states/eV/atom
# * energy above the most stable polymorph in this dataset: 0.745 eV per atom
# * ΔE_f (raw): -0.477 eV/atom

---

# Ni7PtRh2 | Alexandria via LeMat-Bulk | GGA-PBE | optimized geometry
data_Ni7PtRh2
_chemical_formula_sum 'Ni7 Pt1 Rh2'
_cell_length_a 7.1475
_cell_length_b 7.1475
_cell_length_c 3.7560
_cell_angle_alpha 90.00
_cell_angle_beta 90.00
_cell_angle_gamma 126.90
_space_group_name_H-M_alt 'P 1'
_space_group_IT_number 1
loop_
_space_group_symop_operation_xyz
'x,y,z'
loop_
_atom_site_label
_atom_site_fract_x
_atom_site_fract_y
_atom_site_fract_z
_atom_site_occupancy
Ni1 0.0000 0.0000 0.0000 1
Ni2 0.2139 0.4148 0.0000 1
Ni3 0.3086 0.6914 0.5000 1
Ni4 0.4148 0.2139 0.0000 1
Ni5 0.5852 0.7861 0.0000 1
Ni6 0.6914 0.3086 0.5000 1
Ni7 0.7861 0.5852 0.0000 1
Pt1 0.5000 0.5000 0.5000 1
Rh1 0.2002 0.7998 0.0000 1
Rh2 0.7998 0.2002 0.0000 1
# * D(E_F): 1.5916 states/eV/atom
# * energy above the most stable polymorph in this dataset: 0.448 eV per atom
# * formation energy from the elements: 0.57 eV per atom

---

# InAgRh2 | Alexandria via LeMat-Bulk | GGA-PBE | optimized geometry
data_InAgRh2
_chemical_formula_sum 'In1 Ag1 Rh2'
_cell_length_a 2.9372
_cell_length_b 2.9372
_cell_length_c 7.8140
_cell_angle_alpha 90.00
_cell_angle_beta 90.00
_cell_angle_gamma 90.00
_space_group_name_H-M_alt 'P 1'
_space_group_IT_number 1
loop_
_space_group_symop_operation_xyz
'x,y,z'
loop_
_atom_site_label
_atom_site_fract_x
_atom_site_fract_y
_atom_site_fract_z
_atom_site_occupancy
In1 0.0000 0.0000 0.0000 1
Ag1 0.5000 0.5000 0.7161 1
Rh1 0.0000 0.0000 0.4615 1
Rh2 0.5000 0.5000 0.2430 1
# * D(E_F): 0.8850 states/eV/atom
# * formation energy from the elements: 0.06 eV per atom

---

# CaOsPt2 | Alexandria via LeMat-Bulk | GGA-PBE | optimized geometry
data_CaOsPt2
_chemical_formula_sum 'Ca1 Os1 Pt2'
_cell_length_a 4.9094
_cell_length_b 4.9094
_cell_length_c 2.8090
_cell_angle_alpha 90.00
_cell_angle_beta 90.00
_cell_angle_gamma 90.00
_space_group_name_H-M_alt 'P 1'
_space_group_IT_number 1
loop_
_space_group_symop_operation_xyz
'x,y,z'
loop_
_atom_site_label
_atom_site_fract_x
_atom_site_fract_y
_atom_site_fract_z
_atom_site_occupancy
Ca1 0.0000 0.0000 0.0000 1
Os1 0.5000 0.5000 0.0000 1
Pt1 0.0000 0.5000 0.5000 1
Pt2 0.5000 0.0000 0.5000 1
# * D(E_F): 1.2194 states/eV/atom
# * energy above the most stable polymorph in this dataset: 0.020 eV per atom
# * formation energy from the elements: -0.14 eV per atom

---

# PrSm2HoAs4 | Alexandria via LeMat-Bulk | GGA-PBE | optimized geometry
data_PrSm2HoAs4
_chemical_formula_sum 'Pr1 Sm2 Ho1 As4'
_cell_length_a 7.2912
_cell_length_b 4.2140
_cell_length_c 7.2931
_cell_angle_alpha 90.00
_cell_angle_beta 109.46
_cell_angle_gamma 90.00
_space_group_name_H-M_alt 'P 1'
_space_group_IT_number 1
loop_
_space_group_symop_operation_xyz
'x,y,z'
loop_
_atom_site_label
_atom_site_fract_x
_atom_site_fract_y
_atom_site_fract_z
_atom_site_occupancy
Pr1 0.0000 0.0000 0.0000 1
Sm1 0.0000 0.5000 0.5000 1
Sm2 0.5000 0.0000 0.5000 1
Ho1 0.5000 0.5000 0.0000 1
As1 0.2565 0.0000 0.7529 1
As2 0.2561 0.5000 0.2513 1
As3 0.7435 0.0000 0.2471 1
As4 0.7439 0.5000 0.7487 1
# * D(E_F): 0.0868 states/eV/atom
# * formation energy from the elements: -1.51 eV per atom